No. 1
A plane-wave DFT calculation with PBE was carried out for an optimized crystal structure of Tb3YTh2Bi6.

Unit cell a=4.537 b=9.046 c=10.122 alpha=102.86 beta=102.95 gamma=90.00
Atoms (fractional coordinates):
Th1 0.835 0.669 0.670
Th2 0.165 0.331 0.330
Bi1 0.334 0.923 0.668
Bi2 0.335 0.412 0.669
Bi3 0.665 0.588 0.331
Bi4 0.997 0.248 0.995
Bi5 0.666 0.077 0.332
Bi6 0.003 0.752 0.005
Y1 0.500 0.000 0.000
Tb1 0.500 0.500 0.000
Tb2 0.167 0.834 0.334
Tb3 0.833 0.166 0.666

Results
The volume comes out at 394 Å³ per cell. For the energy of formation, the calculation gives -0.78 eV/atom. Its space group is C2/m. The final energy comes out at -0.2078 hartree per atom.

No. 2
A plane-wave DFT calculation with PBE was carried out for an optimized crystal structure of ZrSiRh3.

Unit cell a=4.954 b=4.954 c=8.649 alpha=106.64 beta=106.64 gamma=90.00
Atoms (fractional coordinates):
Rh1 0.121 0.377 0.241
Rh2 0.721 0.721 0.443
Rh3 0.121 0.864 0.241
Rh4 0.623 0.879 0.759
Rh5 0.279 0.279 0.557
Rh6 0.136 0.879 0.759
Si1 0.000 0.000 0.000
Si2 0.250 0.750 0.500
Zr1 0.868 0.368 0.737
Zr2 0.632 0.132 0.263

Results
The value obtained for the formation energy from raw total energies is -0.189 eV per atom. The volume comes out at 194 Å³ per cell. Its space group is I-4m2. The final energy comes out at -0.2717 hartree per atom.

No. 3
A plane-wave DFT calculation with PBE was carried out for an optimized crystal structure of PmDyPd.

Unit cell a=3.846 b=8.238 c=15.156 alpha=90.00 beta=90.00 gamma=90.00
Atoms (fractional coordinates):
Dy1 0.500 0.580 0.890
Dy2 0.500 0.580 0.610
Dy3 0.500 0.757 0.250
Dy4 0.500 0.420 0.110
Dy5 0.500 0.420 0.390
Dy6 0.500 0.243 0.750
Pd1 0.500 0.070 0.405
Pd2 0.500 0.930 0.595
Pd3 0.000 0.505 0.750
Pd4 0.000 0.495 0.250
Pd5 0.500 0.070 0.095
Pd6 0.500 0.930 0.905
Pm1 0.000 0.200 0.944
Pm2 0.000 0.800 0.444
Pm3 0.000 0.875 0.750
Pm4 0.000 0.800 0.056
Pm5 0.000 0.200 0.556
Pm6 0.000 0.125 0.250

Results
The volume comes out at 480 Å³ per cell. For the energy of formation, the calculation gives -0.58 eV/atom. Its space group is Pmma. The final energy comes out at -0.1994 hartree per atom.

No. 4
A plane-wave DFT calculation with PBE was carried out for an optimized crystal structure of YHoAl.

Unit cell a=3.564 b=5.059 c=5.059 alpha=120.00 beta=90.00 gamma=90.00
Atoms (fractional coordinates):
Al1 0.325 0.667 0.333
Y1 0.617 0.333 0.667
Ho1 0.058 0.000 0.000

Results
The volume comes out at 79 Å³ per cell. For the energy of formation, the calculation gives -0.16 eV/atom. Its space group is P3m1. The final energy comes out at -0.1870 hartree per atom.

No. 5
A plane-wave DFT calculation with PBE was carried out for an optimized crystal structure of LaHgH2F8.

Unit cell a=4.009 b=4.738 c=8.782 alpha=85.76 beta=91.11 gamma=67.92
Atoms (fractional coordinates):
F1 0.205 0.772 0.238
F2 0.699 0.731 0.979
F3 0.261 0.675 0.747
F4 0.739 0.325 0.253
F5 0.795 0.228 0.762
F6 0.351 0.293 0.506
F7 0.649 0.707 0.494
F8 0.301 0.269 0.021
La1 0.000 0.000 0.500
H1 0.508 0.519 0.244
H2 0.492 0.481 0.756
Hg1 0.000 0.000 0.000

Results
The volume comes out at 154 Å³ per cell. Its space group is P-1. The final energy comes out at -0.1643 hartree per atom.

No. 6
A plane-wave DFT calculation with PBE was carried out for an optimized crystal structure of Pm3Sm2Dy6Pu.

Unit cell a=6.199 b=6.199 c=11.761 alpha=95.05 beta=95.05 gamma=120.04
Atoms (fractional coordinates):
Pm1 0.167 0.833 0.500
Pm2 0.833 0.167 0.500
Pm3 0.500 0.500 0.500
Sm1 0.667 0.333 0.000
Sm2 0.333 0.667 0.000
Dy1 0.753 0.753 0.247
Dy2 0.918 0.589 0.753
Dy3 0.589 0.918 0.753
Dy4 0.082 0.411 0.247
Dy5 0.247 0.247 0.753
Dy6 0.411 0.082 0.247
Pu1 0.000 0.000 0.000

Results
The volume comes out at 385 Å³ per cell. For the energy of formation, the calculation gives 0.04 eV/atom. Its space group is C2/m. The final energy comes out at -0.1994 hartree per atom.

No. 7
A plane-wave DFT calculation with PBE was carried out for an optimized crystal structure of BeAgHg.

Unit cell a=4.208 b=4.208 c=4.208 alpha=60.00 beta=60.00 gamma=60.00
Atoms (fractional coordinates):
Be1 0.750 0.750 0.750
Hg1 0.000 0.000 0.000
Ag1 0.500 0.500 0.500

Results
The volume comes out at 53 Å³ per cell. For the energy of formation, the calculation gives 0.32 eV/atom. Its space group is F-43m. The final energy comes out at -0.0727 hartree per atom.

No. 8
A plane-wave DFT calculation with PBE was carried out for an optimized crystal structure of Sm3U4N8.

Unit cell a=6.997 b=6.995 c=6.995 alpha=90.19 beta=119.93 gamma=119.93
Atoms (fractional coordinates):
N1 0.979 0.219 0.219
N2 0.500 0.759 0.241
N3 0.556 0.798 0.798
N4 0.500 0.241 0.759
N5 0.000 0.225 0.775
N6 0.021 0.781 0.781
N7 0.000 0.775 0.225
N8 0.444 0.202 0.202
U1 0.000 0.000 0.000
U2 0.000 0.000 0.500
U3 0.000 0.500 0.000
U4 0.500 0.000 0.000
Sm1 0.500 0.500 0.500
Sm2 0.500 0.500 0.000
Sm3 0.500 0.000 0.500

Results
The value obtained for the formation energy from raw total energies is -1.279 eV per atom. The volume comes out at 242 Å³ per cell. Its space group is C2/m. The final energy comes out at -0.3555 hartree per atom.

Copy entry 2 word for word.
A plane-wave DFT calculation with PBE was carried out for an optimized crystal structure of ZrSiRh3.

Unit cell a=4.954 b=4.954 c=8.649 alpha=106.64 beta=106.64 gamma=90.00
Atoms (fractional coordinates):
Rh1 0.121 0.377 0.241
Rh2 0.721 0.721 0.443
Rh3 0.121 0.864 0.241
Rh4 0.623 0.879 0.759
Rh5 0.279 0.279 0.557
Rh6 0.136 0.879 0.759
Si1 0.000 0.000 0.000
Si2 0.250 0.750 0.500
Zr1 0.868 0.368 0.737
Zr2 0.632 0.132 0.263

Results
The value obtained for the formation energy from raw total energies is -0.189 eV per atom. The volume comes out at 194 Å³ per cell. Its space group is I-4m2. The final energy comes out at -0.2717 hartree per atom.

- Among the records above, which one has the lowest final energy?
  Sm3U4N8

- What is the final energy in the third record?
  -0.1994 hartree per atom